# 1
! Cr2Co2H3 | Alexandria via LeMat-Bulk | PBE-GGA | optimized geometry; values from VASP
! Density ... 7.55 g cm⁻³
! V ... 7.07 Å³/atom
! DFT total energy ... -6.215 eV/atom
! D(E_F) ... 0.7314 states/eV per atom
&SYSTEM
  ibrav = 0, nat = 7, ntyp = 3
/
ATOMIC_SPECIES
H 1.01 H.upf
Co 58.93 Co.upf
Cr 52.00 Cr.upf
CELL_PARAMETERS angstrom
2.406 0.000 -0.893
-0.185 4.492 -0.498
0.301 -0.272 4.500
ATOMIC_POSITIONS angstrom
H 1.883 1.015 1.388
H 0.000 0.000 0.000
H 0.638 3.205 1.721
Co 0.284 1.630 0.765
Co 2.238 2.590 2.343
Cr 1.110 0.429 2.992
Cr 1.412 3.791 0.117

***

# 2
! Mn2BeIr | Alexandria via LeMat-Bulk | PBE-GGA | optimized geometry; values from VASP
! Density ... 10.93 g cm⁻³
! V ... 11.81 Å³/atom
! DFT total energy ... -7.939 eV/atom
! Formation energy from the elements ... -0.208 eV per atom
! D(E_F) ... 0.5106 states/eV per atom
&SYSTEM
  ibrav = 0, nat = 4, ntyp = 3
/
ATOMIC_SPECIES
Mn 54.94 Mn.upf
Be 9.01 Be.upf
Ir 192.22 Ir.upf
CELL_PARAMETERS angstrom
3.035 0.000 0.000
0.000 3.779 0.000
0.000 0.000 4.119
ATOMIC_POSITIONS angstrom
Mn 0.000 0.000 0.000
Mn 1.517 1.890 0.000
Be 1.517 0.000 2.060
Ir 0.000 1.890 2.060

***

# 3
! Rb4SrAc3O8 | Alexandria via LeMat-Bulk | PBE-GGA | optimized geometry; values from VASP
! Density ... 6.00 g cm⁻³
! V ... 21.41 Å³/atom
! Formation energy from raw total energies ... -2.332 eV/atom
! DFT total energy ... -5.928 eV/atom
! D(E_F) ... 0.9121 states/eV per atom
&SYSTEM
  ibrav = 0, nat = 16, ntyp = 4
/
ATOMIC_SPECIES
O 16.00 O.upf
Rb 85.47 Rb.upf
Ac 227.00 Ac.upf
Sr 87.62 Sr.upf
CELL_PARAMETERS angstrom
7.713 0.000 0.000
0.000 7.999 0.193
-3.857 -3.852 5.458
ATOMIC_POSITIONS angstrom
O 1.873 1.826 5.336
O 0.000 3.696 2.687
O 3.857 0.452 2.964
O 0.000 0.396 3.005
O 3.857 3.751 2.646
O -1.873 1.826 5.336
O 5.729 2.322 0.315
O 1.984 2.322 0.315
Rb 3.857 0.000 0.000
Rb 1.928 -1.926 2.729
Rb -1.928 -1.926 2.729
Rb 0.000 0.000 0.000
Ac 1.928 2.074 2.825
Ac -1.928 2.074 2.825
Ac 3.857 3.999 0.096
Sr 0.000 3.999 0.096

***

# 4
! Ti5Ru4Au | Alexandria via LeMat-Bulk | PBE-GGA | optimized geometry; values from VASP
! Density ... 9.18 g cm⁻³
! V ... 15.21 Å³/atom
! DFT total energy ... -8.644 eV/atom
! Formation energy from the elements ... -0.659 eV per atom
! D(E_F) ... 0.6102 states/eV per atom
&SYSTEM
  ibrav = 0, nat = 10, ntyp = 3
/
ATOMIC_SPECIES
Ti 47.87 Ti.upf
Ru 101.07 Ru.upf
Au 196.97 Au.upf
CELL_PARAMETERS angstrom
-0.183 -2.413 1.876
3.052 -0.243 -0.015
0.850 9.906 12.827
ATOMIC_POSITIONS angstrom
Ti 1.860 3.625 7.344
Ti 2.184 7.411 12.246
Ti 2.022 5.519 9.796
Ti 1.697 1.732 4.892
Ti 1.535 -0.160 2.442
Ru 0.344 4.009 5.190
Ru 0.669 7.798 10.096
Ru 0.506 5.898 7.637
Ru 0.181 2.109 2.731
Au 0.000 0.000 0.000

***

# 5
! LaIn | Alexandria via LeMat-Bulk | PBE-GGA | optimized geometry; values from VASP
! Density ... 3.58 g cm⁻³
! V ... 58.82 Å³/atom
! DFT total energy ... -3.251 eV/atom
! Formation energy from the elements ... 0.582 eV per atom
! D(E_F) ... 1.7271 states/eV per atom
&SYSTEM
  ibrav = 0, nat = 12, ntyp = 2
/
ATOMIC_SPECIES
La 138.91 La.upf
In 114.82 In.upf
CELL_PARAMETERS angstrom
8.904 0.000 0.000
0.000 8.904 0.000
0.000 0.000 8.904
ATOMIC_POSITIONS angstrom
La 0.000 6.678 4.452
La 4.452 0.000 2.226
La 4.452 0.000 6.678
La 6.678 4.452 0.000
La 2.226 4.452 0.000
La 0.000 2.226 4.452
In 4.452 2.226 0.000
In 0.000 4.452 2.226
In 0.000 4.452 6.678
In 2.226 0.000 4.452
In 4.452 6.678 0.000
In 6.678 0.000 4.452

***

# 6
! LaNd2Dy3As6 | Alexandria via LeMat-Bulk | PBE-GGA | optimized geometry; values from VASP
! Density ... 7.14 g cm⁻³
! V ... 26.46 Å³/atom
! DFT total energy ... -6.207 eV/atom
! Formation energy from the elements ... -1.527 eV per atom
! D(E_F) ... 0.1374 states/eV per atom
&SYSTEM
  ibrav = 0, nat = 12, ntyp = 4
/
ATOMIC_SPECIES
As 74.92 As.upf
Dy 162.50 Dy.upf
Nd 144.24 Nd.upf
La 138.91 La.upf
CELL_PARAMETERS angstrom
-0.675 7.153 -1.295
-5.858 -3.941 1.857
3.395 0.247 6.452
ATOMIC_POSITIONS angstrom
As -4.024 2.478 2.104
As -3.229 0.716 5.718
As 0.886 0.981 4.911
As -1.648 -0.979 2.354
As 0.091 2.744 1.297
As -1.490 4.438 4.661
Dy -3.298 -1.971 4.559
Dy 0.160 5.430 2.456
Dy -1.569 1.730 3.508
Nd -2.403 3.456 -0.244
Nd -4.131 -0.244 0.807
La 0.000 0.000 0.000

***

# 7
! Li2ZnAu2 | Alexandria via LeMat-Bulk | PBE-GGA | optimized geometry; values from VASP
! Energy above the most stable polymorph in this dataset ... 0.106 eV/atom
! Density ... 9.96 g cm⁻³
! V ... 15.78 Å³/atom
! DFT total energy ... -2.671 eV/atom
! Formation energy from the elements ... -0.339 eV per atom
! D(E_F) ... 0.2792 states/eV per atom
&SYSTEM
  ibrav = 0, nat = 10, ntyp = 3
/
ATOMIC_SPECIES
Au 196.97 Au.upf
Zn 65.41 Zn.upf
Li 6.94 Li.upf
CELL_PARAMETERS angstrom
7.483 0.000 0.000
0.000 7.483 0.000
0.000 0.000 2.818
ATOMIC_POSITIONS angstrom
Au 6.229 2.487 1.409
Au 2.487 1.254 1.409
Au 1.254 4.995 1.409
Au 4.995 6.229 1.409
Zn 0.000 0.000 0.000
Zn 3.741 3.741 0.000
Li 2.779 6.520 0.000
Li 6.520 4.704 0.000
Li 4.704 0.962 0.000
Li 0.962 2.779 0.000

***

# 8
! TbPm2ThBi5 | Alexandria via LeMat-Bulk | PBE-GGA | optimized geometry; values from VASP
! Density ... 7.29 g cm⁻³
! V ... 43.68 Å³/atom
! DFT total energy ... -4.466 eV/atom
! Formation energy from the elements ... 0.084 eV per atom
! D(E_F) ... 0.7962 states/eV per atom
&SYSTEM
  ibrav = 0, nat = 9, ntyp = 4
/
ATOMIC_SPECIES
Th 232.04 Th.upf
Bi 208.98 Bi.upf
Pm 145.00 Pm.upf
Tb 158.93 Tb.upf
CELL_PARAMETERS angstrom
5.737 0.000 0.000
0.000 5.737 0.000
0.000 0.000 11.945
ATOMIC_POSITIONS angstrom
Th 0.000 0.000 5.973
Bi 2.868 0.000 5.973
Bi 0.000 0.000 2.898
Bi 0.000 0.000 9.047
Bi 0.000 2.868 5.973
Bi 2.868 2.868 0.000
Pm 2.868 2.868 8.654
Pm 2.868 2.868 3.291
Tb 0.000 0.000 0.000

***

# 9
! Sr2InAu | Alexandria via LeMat-Bulk | PBE-GGA | optimized geometry; values from VASP
! Density ... 5.60 g cm⁻³
! V ... 36.11 Å³/atom
! DFT total energy ... -2.802 eV/atom
! Formation energy from the elements ... -0.458 eV per atom
! D(E_F) ... 0.5969 states/eV per atom
&SYSTEM
  ibrav = 0, nat = 4, ntyp = 3
/
ATOMIC_SPECIES
Au 196.97 Au.upf
In 114.82 In.upf
Sr 87.62 Sr.upf
CELL_PARAMETERS angstrom
4.392 -0.010 0.001
2.216 3.792 0.001
2.180 1.248 8.663
ATOMIC_POSITIONS angstrom
Au 6.591 3.772 6.498
In 2.197 1.257 2.166
Sr 4.391 2.513 4.585
Sr 2.183 1.249 8.409

***

# 10
! NaMg2Hg3 | Alexandria via LeMat-Bulk | PBE-GGA | optimized geometry; values from VASP
! Density ... 8.15 g cm⁻³
! V ... 22.87 Å³/atom
! DFT total energy ... -1.126 eV/atom
! Formation energy from the elements ... -0.224 eV per atom
! D(E_F) ... 0.2614 states/eV per atom
&SYSTEM
  ibrav = 0, nat = 6, ntyp = 3
/
ATOMIC_SPECIES
Hg 200.59 Hg.upf
Mg 24.30 Mg.upf
Na 22.99 Na.upf
CELL_PARAMETERS angstrom
-3.171 -0.306 -1.645
0.184 -3.567 0.308
-4.953 0.559 9.446
ATOMIC_POSITIONS angstrom
Hg -1.547 0.175 2.951
Hg -3.406 0.385 6.495
Hg 0.000 0.000 0.000
Mg -5.675 -1.464 7.307
Mg -2.264 -1.849 0.802
Na -3.970 -1.657 4.054

***

# 11
! Ac2Pm3Pr8 | Alexandria via LeMat-Bulk | PBE-GGA | optimized geometry; values from VASP
! Energy above the most stable polymorph in this dataset ... 0.000 eV/atom
! Density ... 6.87 g cm⁻³
! V ... 37.49 Å³/atom
! DFT total energy ... -4.504 eV/atom
! Formation energy from the elements ... 0.166 eV per atom
! D(E_F) ... 1.6702 states/eV per atom
&SYSTEM
  ibrav = 0, nat = 13, ntyp = 3
/
ATOMIC_SPECIES
Pm 145.00 Pm.upf
Pr 140.91 Pr.upf
Ac 227.00 Ac.upf
CELL_PARAMETERS angstrom
6.251 0.306 1.363
1.991 8.776 1.545
0.816 -0.726 9.065
ATOMIC_POSITIONS angstrom
Pm 1.701 6.428 3.402
Pm 3.126 0.153 0.681
Pm 1.106 1.621 7.207
Pr 4.866 0.531 6.291
Pr 5.445 5.217 2.582
Pr 3.027 4.655 6.355
Pr 2.652 6.863 9.085
Pr 6.032 3.700 5.617
Pr 4.192 7.824 5.680
Pr 6.406 1.493 2.886
Pr 3.613 3.138 9.390
Ac 6.008 5.858 8.340
Ac 3.050 2.497 3.632

***

# 12
! Ta2SbPbS | Alexandria via LeMat-Bulk | PBE-GGA | optimized geometry; values from VASP
! Energy above the most stable polymorph in this dataset ... 0.000 eV/atom
! Density ... 9.95 g cm⁻³
! V ... 24.12 Å³/atom
! Formation energy from raw total energies ... 0.642 eV/atom
! DFT total energy ... -6.491 eV/atom
! D(E_F) ... 0.8706 states/eV per atom
&SYSTEM
  ibrav = 0, nat = 5, ntyp = 4
/
ATOMIC_SPECIES
Pb 207.20 Pb.upf
Sb 121.76 Sb.upf
Ta 180.95 Ta.upf
S 32.06 S.upf
CELL_PARAMETERS angstrom
-0.692 1.596 4.291
-0.996 -5.240 1.788
4.505 -0.539 0.927
ATOMIC_POSITIONS angstrom
Pb -0.498 -2.620 0.894
Sb 1.408 -2.092 3.503
Ta -0.346 0.798 2.146
Ta 2.252 -0.270 0.464
S 0.000 0.000 0.000